(1)
Mg3GeRu | PBEsol | optimized geometry

It has space group Pm-3m (No. 221), with a = 4.862 Å, b = 4.862 Å, c = 4.862 Å, α = 90.00°, β = 90.00° and γ = 90.00°. The inequivalent atoms are Mg at (0.000, 0.000, 0.500), Ge at (0.500, 0.500, 0.500) and Ru at (0.000, 0.000, 0.000).

The calculation puts the raw total energy at -3.47 eV per atom.

***

(2)
MgGe2Ru2 | PBEsol | optimized geometry

It has space group P4/mbm (No. 127), with a = 7.086 Å, b = 7.086 Å, c = 2.965 Å, α = 90.00°, β = 90.00° and γ = 90.00°. The inequivalent atoms are Mg at (0.000, 0.000, 0.000), Ge at (0.152, 0.348, 0.500) and Ru at (0.144, 0.644, 0.000).

The calculation puts the raw total energy at -6.65 eV per atom.